(1)
Rb3Tb2SnSe6: relaxed, PBE. Values from VASP.

Quantum ESPRESSO input file:
```
&SYSTEM
  ibrav = 0, nat = 12, ntyp = 4
/
ATOMIC_SPECIES
Rb 85.47 Rb.upf
Tb 158.93 Tb.upf
Sn 118.71 Sn.upf
Se 78.96 Se.upf
ATOMIC_POSITIONS crystal
Rb 0.0000 0.0000 0.0000
Rb 0.3341 0.6659 0.0000
Rb 0.6659 0.3341 0.0000
Tb 0.1668 0.8332 0.5000
Tb 0.8332 0.1668 0.5000
Sn 0.5000 0.5000 0.5000
Se 0.1007 0.4349 0.3047
Se 0.2309 0.2309 0.6952
Se 0.4349 0.1007 0.3047
Se 0.5651 0.8993 0.6953
Se 0.7691 0.7691 0.3048
Se 0.8993 0.5651 0.6953
CELL_PARAMETERS angstrom
3.6987 -6.4064 0.0000
3.6987 6.4064 0.0000
-2.4642 0.0000 7.9862
```

DFT total energy: -4.47 eV/atom
formation energy (no corrections): -1.38 eV per atom

(2)
Pr4DyY10: relaxed, PBE. Values from VASP.

Quantum ESPRESSO input file:
```
&SYSTEM
  ibrav = 0, nat = 15, ntyp = 3
/
ATOMIC_SPECIES
Pr 140.91 Pr.upf
Dy 162.50 Dy.upf
Y 88.91 Y.upf
ATOMIC_POSITIONS crystal
Pr 0.2278 0.2278 0.4556
Pr 0.2278 0.7722 0.0000
Pr 0.7722 0.2278 0.0000
Pr 0.7722 0.7722 0.5444
Dy 0.0000 0.0000 0.0000
Y 0.0825 0.2917 0.7908
Y 0.2500 0.7500 0.5000
Y 0.2917 0.0825 0.7908
Y 0.2917 0.5008 0.2092
Y 0.4992 0.7083 0.7908
Y 0.5008 0.2917 0.2092
Y 0.7083 0.4992 0.7908
Y 0.7083 0.9175 0.2092
Y 0.7500 0.2500 0.5000
Y 0.9175 0.7083 0.2092
CELL_PARAMETERS angstrom
-5.7083 5.7083 3.9879
5.7083 -5.7083 3.9879
5.7083 5.7083 -3.9879
```

DFT total energy: -5.62 eV/atom
formation energy from the elements: 25.88 kJ per mole of atoms

(3)
LaRu2O8: relaxed, PBE. Values from VASP.

Quantum ESPRESSO input file:
```
&SYSTEM
  ibrav = 0, nat = 11, ntyp = 3
/
ATOMIC_SPECIES
La 138.91 La.upf
Ru 101.07 Ru.upf
O 16.00 O.upf
ATOMIC_POSITIONS crystal
La 0.0000 0.0000 0.0000
Ru 0.0000 0.5000 0.5000
Ru 0.5000 0.0000 0.5000
O 0.2528 0.2528 0.3027
O 0.2528 0.2528 0.6973
O 0.2528 0.7472 0.3027
O 0.2528 0.7472 0.6973
O 0.7472 0.2528 0.3027
O 0.7472 0.2528 0.6973
O 0.7472 0.7472 0.3027
O 0.7472 0.7472 0.6973
CELL_PARAMETERS angstrom
4.8110 0.0000 0.0000
0.0000 4.8110 0.0000
0.0000 0.0000 5.8372
```

DFT total energy: -6.68 eV/atom
relative energy among the computed polymorphs: 335.7 meV/atom
formation energy (no corrections): -0.94 eV per atom

(4)
Ce2FeGe6Ru: relaxed, PBE. Values from VASP.

Quantum ESPRESSO input file:
```
&SYSTEM
  ibrav = 0, nat = 20, ntyp = 4
/
ATOMIC_SPECIES
Ce 140.12 Ce.upf
Fe 55.84 Fe.upf
Ge 72.64 Ge.upf
Ru 101.07 Ru.upf
ATOMIC_POSITIONS crystal
Ce 0.1113 0.1113 0.1113
Ce 0.2955 0.2955 0.2955
Ce 0.7045 0.7045 0.7045
Ce 0.8887 0.8887 0.8887
Fe 0.4256 0.4256 0.4256
Fe 0.5744 0.5744 0.5744
Ge 0.0738 0.6525 0.6525
Ge 0.2311 0.2311 0.6592
Ge 0.2311 0.6592 0.2311
Ge 0.3408 0.7689 0.7689
Ge 0.3475 0.3475 0.9262
Ge 0.3475 0.9262 0.3475
Ge 0.6525 0.0738 0.6525
Ge 0.6525 0.6525 0.0738
Ge 0.6592 0.2311 0.2311
Ge 0.7689 0.3408 0.7689
Ge 0.7689 0.7689 0.3408
Ge 0.9262 0.3475 0.3475
Ru 0.0000 0.0000 0.0000
Ru 0.5000 0.5000 0.5000
CELL_PARAMETERS angstrom
3.0375 1.7537 12.0657
-3.0375 1.7537 12.0657
0.0000 -3.5074 12.0657
```

DFT total energy: -6.10 eV/atom
formation energy from the elements: -36.06 kJ per mole of atoms

(5)
HoMnInRu: relaxed, PBE. Values from VASP.

Quantum ESPRESSO input file:
```
&SYSTEM
  ibrav = 0, nat = 4, ntyp = 4
/
ATOMIC_SPECIES
Ho 164.93 Ho.upf
Mn 54.94 Mn.upf
In 114.82 In.upf
Ru 101.07 Ru.upf
ATOMIC_POSITIONS crystal
Ho 0.0000 0.0000 0.0000
Mn 0.2500 0.2500 0.2500
In 0.5000 0.5000 0.5000
Ru 0.7500 0.7500 0.7500
CELL_PARAMETERS angstrom
0.0000 3.3263 3.3263
3.3263 0.0000 3.3263
3.3263 3.3263 0.0000
```

DFT total energy: -6.55 eV/atom
formation energy from the elements: -10.31 kJ per mole of atoms

(6)
Sr2TaW: relaxed, PBE. Values from VASP.

Quantum ESPRESSO input file:
```
&SYSTEM
  ibrav = 0, nat = 4, ntyp = 3
/
ATOMIC_SPECIES
Sr 87.62 Sr.upf
Ta 180.95 Ta.upf
W 183.84 W.upf
ATOMIC_POSITIONS crystal
Sr 0.0000 0.0000 0.0000
Sr 0.7007 0.2007 0.5000
Ta 0.4191 0.4191 0.0000
W 0.2577 0.7577 0.5000
CELL_PARAMETERS angstrom
-1.7066 2.9719 5.6658
1.7066 -2.9719 5.6658
1.7066 2.9719 -5.6658
```

DFT total energy: -6.14 eV/atom
relative energy among the computed polymorphs: 350.2 meV/atom
formation energy from the elements: 87.29 kJ per mole of atoms

(7)
ZrIr2Pb: relaxed, PBE. Values from VASP.

Quantum ESPRESSO input file:
```
&SYSTEM
  ibrav = 0, nat = 4, ntyp = 3
/
ATOMIC_SPECIES
Zr 91.22 Zr.upf
Ir 192.22 Ir.upf
Pb 207.20 Pb.upf
ATOMIC_POSITIONS crystal
Zr 0.0000 0.0000 0.0000
Ir 0.2589 0.2589 0.2589
Ir 0.7411 0.7411 0.7411
Pb 0.5000 0.5000 0.5000
CELL_PARAMETERS angstrom
1.5808 0.9127 9.1282
-1.5808 0.9127 9.1282
0.0000 -1.8254 9.1282
```

DFT total energy: -7.50 eV/atom
formation energy from the elements: -0.89 kJ per mole of atoms

(8)
ThMg2Pb3: relaxed, PBE. Values from VASP.

Quantum ESPRESSO input file:
```
&SYSTEM
  ibrav = 0, nat = 6, ntyp = 3
/
ATOMIC_SPECIES
Th 232.04 Th.upf
Mg 24.30 Mg.upf
Pb 207.20 Pb.upf
ATOMIC_POSITIONS crystal
Th 0.0000 0.0000 0.0000
Mg 0.3291 0.6709 0.0000
Mg 0.6709 0.3291 0.0000
Pb 0.1726 0.8274 0.5000
Pb 0.5000 0.5000 0.5000
Pb 0.8274 0.1726 0.5000
CELL_PARAMETERS angstrom
2.4625 -7.5358 0.0000
2.4625 7.5358 0.0000
0.0000 0.0000 4.4470
```

DFT total energy: -3.79 eV/atom
formation energy from the elements: -16.56 kJ per mole of atoms

(9)
Ac3PrH: relaxed, PBE. Values from VASP.

Quantum ESPRESSO input file:
```
&SYSTEM
  ibrav = 0, nat = 5, ntyp = 3
/
ATOMIC_SPECIES
Ac 227.00 Ac.upf
Pr 140.91 Pr.upf
H 1.01 H.upf
ATOMIC_POSITIONS crystal
Ac 0.0000 0.0000 0.5000
Ac 0.0000 0.5000 0.0000
Ac 0.5000 0.0000 0.0000
Pr 0.5000 0.5000 0.5000
H 0.0000 0.0000 0.0000
CELL_PARAMETERS angstrom
5.5435 0.0000 0.0000
0.0000 5.5435 0.0000
0.0000 0.0000 5.5435
```

DFT total energy: -4.23 eV/atom

(10)
SbPbN2: relaxed, PBE. Values from VASP.

Quantum ESPRESSO input file:
```
&SYSTEM
  ibrav = 0, nat = 4, ntyp = 3
/
ATOMIC_SPECIES
Sb 121.76 Sb.upf
Pb 207.20 Pb.upf
N 14.01 N.upf
ATOMIC_POSITIONS crystal
Sb 0.0000 0.0000 0.0000
Pb 0.5000 0.5000 0.5000
N 0.1067 0.1067 0.1067
N 0.8933 0.8933 0.8933
CELL_PARAMETERS angstrom
1.7460 1.0081 6.6991
-1.7460 1.0081 6.6991
0.0000 -2.0162 6.6991
```

DFT total energy: -5.24 eV/atom
relative energy among the computed polymorphs: 387.6 meV/atom
formation energy (no corrections): 0.88 eV per atom

no.,spin magnetization (μB/cell)
1,0.0
2,0.0
3,0.0
4,3.0
5,3.1
6,0.0
7,0.0
8,0.0
9,0.0
10,0.0